(1)
{
  "formula": "PmNdTm2",
  "functional": "PBE",
  "state": "relaxed",
  "formation_enthalpy_0k_mev_per_atom": 22,
  "m_tot_mub_per_fu": 0.0,
  "dos_at_fermi_per_ev_cell": 5.9,
  "spacegroup": "R3m",
  "lattice": [[-0.040, -2.976, 2.021], [-0.849, -3.168, -1.479], [10.850, -3.879, -2.295]],
  "species": ["Pm", "Nd", "Tm", "Tm"],
  "fractional_positions": [[0.500, 0.500, 0.499], [0.666, 0.666, 0.001], [0.083, 0.083, 0.750], [0.250, 0.250, 0.250]]
}



(2)
{
  "formula": "Pm2NdTm6",
  "functional": "PBE",
  "state": "relaxed",
  "formation_enthalpy_0k_mev_per_atom": 127,
  "m_tot_mub_per_fu": 0.0,
  "dos_at_fermi_per_ev_cell": 9.9,
  "spacegroup": "Cmmm",
  "lattice": [[-3.335, 1.221, -0.516], [-0.318, -9.906, 3.557], [1.087, -3.384, 9.912]],
  "species": ["Pm", "Pm", "Nd", "Tm", "Tm", "Tm", "Tm", "Tm", "Tm"],
  "fractional_positions": [[0.610, 0.305, 0.305], [0.390, 0.695, 0.695], [0.500, 0.500, 0.500], [0.181, 0.657, 0.024], [0.819, 0.343, 0.976], [0.819, 0.976, 0.343], [0.000, 0.177, 0.823], [0.000, 0.823, 0.177], [0.181, 0.024, 0.657]]
}



(3)
{
  "formula": "PmNdTm",
  "functional": "PBE",
  "state": "relaxed",
  "formation_enthalpy_0k_mev_per_atom": -5,
  "m_tot_mub_per_fu": 0.0,
  "dos_at_fermi_per_ev_cell": 8.5,
  "spacegroup": "C2/m",
  "lattice": [[5.085, 0.001, 0.000], [0.001, 7.190, -3.700], [-0.001, -3.536, 7.275]],
  "species": ["Pm", "Pm", "Nd", "Nd", "Tm", "Tm"],
  "fractional_positions": [[0.160, 0.882, 0.090], [0.663, 0.718, 0.254], [0.161, 0.550, 0.421], [0.661, 0.050, 0.923], [0.161, 0.218, 0.754], [0.661, 0.382, 0.590]]
}